Computed, not measured: a relaxed structure of USIBr at the PBE level of DFT.

The space group is Cm (No. 8) and the conventional cell measures 7.708, 4.647 and 8.320 Å, with angles of 90.00, 108.21 and 90.00 degrees. The asymmetric unit holds U at (0.000, 0.000, 0.000), S at (0.160, 0.500, 0.002), I at (0.226, 0.000, 0.723) and Br at (0.398, 0.000, 0.242).

The calculation puts the total magnetization at 4.00 μB per cell. Its formation energy (no corrections) is -3.93 eV/f.u. The calculation puts the raw total energy at -5.64 eV per atom. The theoretical density comes out at 5.60 Mg/m³.

=====

Computed, not measured: a relaxed structure of AlGaSb at the PBE level of DFT.

The space group is P2_1/m (No. 11) and the conventional cell measures 4.212, 5.154 and 6.346 Å, with angles of 90.00, 104.31 and 90.00 degrees. The asymmetric unit holds Al at (0.173, 0.250, 0.087), Ga at (0.131, 0.750, 0.583) and Sb at (0.454, 0.750, 0.234).

The calculation puts the total magnetization at 0.00 μB per cell. Its formation energy (no corrections) is 0.19 eV/f.u. The calculation puts the raw total energy at -3.57 eV per atom. The calculation puts the distance to the lowest polymorph of the same formula at 15 kJ/mol of formula units. The theoretical density comes out at 5.44 Mg/m³.

=====

Computed, not measured: a relaxed structure of Y3Ta at the PBE level of DFT.

The space group is Cmcm (No. 63) and the conventional cell measures 6.907, 12.494 and 5.168 Å, with angles of 90.00, 90.00 and 90.00 degrees. The asymmetric unit holds Y at (0.000, 0.077, 0.250), Y at (0.234, 0.336, 0.250) and Ta at (0.000, 0.449, 0.750).

Its formation energy from the elements is 0.269 eV/atom. The calculation puts the total magnetization at 0.00 μB per cell. The calculation puts the raw total energy at -7.54 eV per atom. The calculation puts the distance to the lowest polymorph of the same formula at 0 kJ/mol of formula units. The theoretical density comes out at 6.67 Mg/m³.

=====

Computed, not measured: a relaxed structure of BiSF2 at the PBE level of DFT.

The space group is R-3m (No. 166, hexagonal axes) and the conventional cell measures 3.5204, 3.5204 and 23.4899 Å, with angles of 90.00, 90.00 and 120.00 degrees. The asymmetric unit holds Bi at (0.0000, 0.0000, 0.0000), S at (0.0000, 0.0000, 0.5000) and F at (0.0000, 0.0000, 0.0930).

The calculation puts the total magnetization at 7.78 μB per cell. Its formation energy (no corrections) is -1.76 eV/f.u. The calculation puts the raw total energy at -3.38 eV per atom. The calculation puts the distance to the lowest polymorph of the same formula at 348 kJ/mol of formula units. The theoretical density comes out at 5.51 Mg/m³.

=====

Q: What is the raw total energy in the first record?
A: -5.64 eV per atom